VASP calculation (PBE with a Hubbard U) on a relaxed structure of CrSbPtO6.

Lattice parameters (Å, degrees): 4.6430 4.6430 9.4424 90.00 90.00 90.00
Space group P4_2nm (No. 102)
Unique sites:
1 Cr 0.0000 0.0000 0.0000 (multiplicity 2)
2 Sb 0.0000 0.0000 0.3323 (multiplicity 2)
3 Pt 0.0000 0.0000 0.6667 (multiplicity 2)
4 O 0.1917 0.1917 0.1662 (multiplicity 4)
5 O 0.1920 0.1920 0.8356 (multiplicity 4)
6 O 0.1929 0.1929 0.4983 (multiplicity 4)

Summary:
Crystal system: tetragonal
Total energy (eV per atom): -6.528